DFT (PBE-GGA) results for CaNiCl3 after structural relaxation. Values from VASP.

```
&SYSTEM
  ibrav = 0, nat = 5, ntyp = 3
/
ATOMIC_SPECIES
Ni 58.69 Ni.upf
Ca 40.08 Ca.upf
Cl 35.45 Cl.upf
CELL_PARAMETERS angstrom
4.701 0.000 0.000
0.000 4.701 0.000
0.000 0.000 4.701
ATOMIC_POSITIONS crystal
Ni 0.000 0.000 0.000
Ca 0.500 0.500 0.500
Cl 0.000 0.500 0.000
Cl 0.000 0.000 0.500
Cl 0.500 0.000 0.000
```

Properties
Raw formation energy: -1.1379 eV per atom
Offset from the most stable computed form: 0 meV per atom
Energy: -3.802 eV/atom

=====

DFT (PBE-GGA) results for CaNiCl after structural relaxation. Values from VASP.

```
&SYSTEM
  ibrav = 0, nat = 3, ntyp = 3
/
ATOMIC_SPECIES
Ni 58.69 Ni.upf
Ca 40.08 Ca.upf
Cl 35.45 Cl.upf
CELL_PARAMETERS angstrom
3.592 0.000 0.000
-1.796 3.111 0.000
0.000 0.000 6.194
ATOMIC_POSITIONS crystal
Ni 0.333 0.667 0.686
Ca 0.000 0.000 0.012
Cl 0.667 0.333 0.301
```

Properties
Raw formation energy: -0.4354 eV per atom
Energy: -3.645 eV/atom